The following is a DFT calculation (PBE) of Sr6Ca after structural relaxation.

The uncorrected energy is -0.733 eV/atom.

The structure belongs to space group Im-3m (No. 229); the cell edges are 10.867, 10.867 and 10.867 Å and the angles 90.00°, 90.00° and 90.00°. Symmetry generates all atoms from Sr at (0.000, 0.250, 0.500) and Ca at (0.000, 0.000, 0.000).

---

The following is a DFT calculation (PBE) of GaCoAsSe2 after structural relaxation.

The uncorrected energy is -4.085 eV/atom. Its uncorrected formation energy is 0.265 eV/atom.

The structure belongs to space group P4/mmm (No. 123); the cell edges are 4.979, 4.979 and 4.319 Å and the angles 90.00°, 90.00° and 90.00°. Symmetry generates all atoms from Ga at (0.000, 0.000, 0.000), Co at (0.500, 0.500, 0.500), As at (0.500, 0.500, 0.000) and Se at (0.000, 0.500, 0.500).

---

The following is a DFT calculation (PBE) of SrBiTeI2 after structural relaxation.

The uncorrected energy is -2.848 eV/atom. Its uncorrected formation energy is -0.487 eV/atom.

The structure belongs to space group P4/mmm (No. 123); the cell edges are 6.044, 6.044 and 6.233 Å and the angles 90.00°, 90.00° and 90.00°. Symmetry generates all atoms from Sr at (0.000, 0.000, 0.000), Bi at (0.500, 0.500, 0.500), Te at (0.500, 0.500, 0.000) and I at (0.000, 0.500, 0.500).

---

The following is a DFT calculation (PBE) of P2RuW after structural relaxation.

The uncorrected energy is -8.469 eV/atom.

The structure belongs to space group Fm-3m (No. 225); the cell edges are 5.957, 5.957 and 5.957 Å and the angles 90.00°, 90.00° and 90.00°. Symmetry generates all atoms from P at (0.250, 0.250, 0.250), Ru at (0.000, 0.000, 0.000) and W at (0.000, 0.000, 0.500).

---

- The highest uncorrected energy belongs to which entry?
  Sr6Ca

---

- The highest uncorrected energy belongs to which entry?
  Sr6Ca

---

- Look up the uncorrected energy of the third one.
  -2.848 eV/atom